## TiMn3O6 (PBE with a Hubbard U)

Data for a relaxed structure of TiMn3O6.

Total energy: -7.494 eV/atom
Energy relative to the lowest polymorph listed for this composition: 503.6 meV/atom

The structure in POSCAR format:
```
TiMn3O6
1.0
-3.374 1.610 -3.449
3.741 -3.157 -1.383
-5.853 -7.841 2.067
Ti Mn O
2 6 12
direct
0.667 0.333 0.750
0.333 0.667 0.250
0.000 0.000 0.500
0.000 0.000 0.000
0.667 0.333 0.011
0.333 0.667 0.511
0.333 0.667 0.989
0.667 0.333 0.489
0.975 0.618 0.621
0.382 0.357 0.621
0.025 0.382 0.121
0.357 0.382 0.379
0.643 0.025 0.621
0.618 0.643 0.121
0.025 0.643 0.379
0.643 0.618 0.879
0.357 0.975 0.121
0.975 0.357 0.879
0.618 0.975 0.379
0.382 0.025 0.879
```